# Tb3SnPb2 (GGA-PBE, optimized geometry)
data_Tb3SnPb2
_chemical_formula_sum 'Tb6 Sn2 Pb4'
_cell_length_a 9.0648
_cell_length_b 9.0648
_cell_length_c 6.3701
_cell_angle_alpha 100.14
_cell_angle_beta 100.14
_cell_angle_gamma 41.25
_space_group_name_H-M_alt 'P 1'
_space_group_IT_number 1
loop_
_space_group_symop_operation_xyz
'x,y,z'
loop_
_atom_site_label
_atom_site_type_symbol
_atom_site_fract_x
_atom_site_fract_y
_atom_site_fract_z
Tb1 Tb 0.1225 0.8775 0.7500
Tb2 Tb 0.2163 0.4546 0.4062
Tb3 Tb 0.4546 0.2163 0.9062
Tb4 Tb 0.5454 0.7837 0.0938
Tb5 Tb 0.7837 0.5454 0.5938
Tb6 Tb 0.8775 0.1225 0.2500
Sn1 Sn 0.3820 0.6180 0.2500
Sn2 Sn 0.6180 0.3820 0.7500
Pb1 Pb 0.0535 0.2786 0.0775
Pb2 Pb 0.2786 0.0535 0.5775
Pb3 Pb 0.7214 0.9465 0.4225
Pb4 Pb 0.9465 0.7214 0.9225
# Uncorrected energy   -4.76 eV/atom
# Energy relative to the elements   -0.539 eV per atom
# Excess energy over the best structure of this formula in the dataset   0 meV/atom

***

# NaLiCaAu2 (GGA-PBE, optimized geometry)
data_NaLiCaAu2
_chemical_formula_sum 'Na1 Li1 Ca1 Au2'
_cell_length_a 5.4750
_cell_length_b 5.4750
_cell_length_c 5.9478
_cell_angle_alpha 90.00
_cell_angle_beta 90.00
_cell_angle_gamma 90.00
_space_group_name_H-M_alt 'P 1'
_space_group_IT_number 1
loop_
_space_group_symop_operation_xyz
'x,y,z'
loop_
_atom_site_label
_atom_site_type_symbol
_atom_site_fract_x
_atom_site_fract_y
_atom_site_fract_z
Na1 Na 0.0000 0.0000 0.0000
Li1 Li 0.5000 0.5000 0.0000
Ca1 Ca 0.0000 0.0000 0.5000
Au1 Au 0.0000 0.5000 0.5000
Au2 Au 0.5000 0.0000 0.5000
# Uncorrected energy   -2.11 eV/atom
# Energy relative to the elements   0.250 eV per atom
# Excess energy over the best structure of this formula in the dataset   0 meV/atom

***

# Al3SiAs (GGA-PBE, optimized geometry)
data_Al3SiAs
_chemical_formula_sum 'Al3 Si1 As1'
_cell_length_a 4.7604
_cell_length_b 4.7604
_cell_length_c 4.7604
_cell_angle_alpha 90.00
_cell_angle_beta 90.00
_cell_angle_gamma 90.00
_space_group_name_H-M_alt 'P 1'
_space_group_IT_number 1
loop_
_space_group_symop_operation_xyz
'x,y,z'
loop_
_atom_site_label
_atom_site_type_symbol
_atom_site_fract_x
_atom_site_fract_y
_atom_site_fract_z
Al1 Al 0.0000 0.0000 0.5000
Al2 Al 0.0000 0.5000 0.0000
Al3 Al 0.5000 0.0000 0.0000
Si1 Si 0.0000 0.0000 0.0000
As1 As 0.5000 0.5000 0.5000
# Uncorrected energy   -3.78 eV/atom
# Uncorrected formation energy   11.17 kcal/mol of atoms
# Excess energy over the best structure of this formula in the dataset   0 meV/atom

***

# UTcMo2P2 (GGA-PBE, optimized geometry)
data_UTcMo2P2
_chemical_formula_sum 'U2 Tc2 Mo4 P4'
_cell_length_a 4.0040
_cell_length_b 7.6842
_cell_length_c 6.1116
_cell_angle_alpha 90.00
_cell_angle_beta 90.00
_cell_angle_gamma 90.00
_space_group_name_H-M_alt 'P 1'
_space_group_IT_number 1
loop_
_space_group_symop_operation_xyz
'x,y,z'
loop_
_atom_site_label
_atom_site_type_symbol
_atom_site_fract_x
_atom_site_fract_y
_atom_site_fract_z
U1 U 0.0000 0.0849 0.0000
U2 U 0.0000 0.9151 0.5000
Tc1 Tc 0.5000 0.2023 0.7137
Tc2 Tc 0.5000 0.7977 0.2137
Mo1 Mo 0.0000 0.2991 0.4325
Mo2 Mo 0.0000 0.7009 0.9325
Mo3 Mo 0.5000 0.4286 0.0973
Mo4 Mo 0.5000 0.5714 0.5973
P1 P 0.0000 0.4102 0.8061
P2 P 0.0000 0.5898 0.3061
P3 P 0.5000 0.1356 0.3117
P4 P 0.5000 0.8644 0.8117
# Uncorrected energy   -9.48 eV/atom
# Energy relative to the elements   -0.457 eV per atom

***

# P2N3 (GGA-PBE, optimized geometry)
data_P2N3
_chemical_formula_sum 'P4 N6'
_cell_length_a 5.1522
_cell_length_b 5.1522
_cell_length_c 4.9580
_cell_angle_alpha 92.00
_cell_angle_beta 92.00
_cell_angle_gamma 119.99
_space_group_name_H-M_alt 'P 1'
_space_group_IT_number 1
loop_
_space_group_symop_operation_xyz
'x,y,z'
loop_
_atom_site_label
_atom_site_type_symbol
_atom_site_fract_x
_atom_site_fract_y
_atom_site_fract_z
P1 P 0.0872 0.9128 0.5000
P2 P 0.2479 0.7365 0.9864
P3 P 0.7365 0.2479 0.4864
P4 P 0.9128 0.0872 0.0000
N1 N 0.0046 0.5896 0.6209
N2 N 0.0163 0.8568 0.1549
N3 N 0.1677 0.4171 0.0949
N4 N 0.4171 0.1677 0.5949
N5 N 0.5896 0.0046 0.1209
N6 N 0.8568 0.0163 0.6549
# Uncorrected energy   -7.13 eV/atom
# Uncorrected formation energy   0.75 kcal/mol of atoms

***

# Zr2OsPb (GGA-PBE, optimized geometry)
data_Zr2OsPb
_chemical_formula_sum 'Zr2 Os1 Pb1'
_cell_length_a 3.3408
_cell_length_b 4.3082
_cell_length_c 6.2340
_cell_angle_alpha 90.00
_cell_angle_beta 90.00
_cell_angle_gamma 90.00
_space_group_name_H-M_alt 'P 1'
_space_group_IT_number 1
loop_
_space_group_symop_operation_xyz
'x,y,z'
loop_
_atom_site_label
_atom_site_type_symbol
_atom_site_fract_x
_atom_site_fract_y
_atom_site_fract_z
Zr1 Zr 0.0000 0.0000 0.0000
Zr2 Zr 0.5000 0.5000 0.2837
Os1 Os 0.0000 0.0000 0.4020
Pb1 Pb 0.5000 0.5000 0.7612
# Uncorrected energy   -7.97 eV/atom
# Energy relative to the elements   0.038 eV per atom

***

# AcAsPd3 (GGA-PBE, optimized geometry)
data_AcAsPd3
_chemical_formula_sum 'Ac2 As2 Pd6'
_cell_length_a 6.3353
_cell_length_b 6.3353
_cell_length_c 6.1218
_cell_angle_alpha 90.00
_cell_angle_beta 90.00
_cell_angle_gamma 123.26
_space_group_name_H-M_alt 'P 1'
_space_group_IT_number 1
loop_
_space_group_symop_operation_xyz
'x,y,z'
loop_
_atom_site_label
_atom_site_type_symbol
_atom_site_fract_x
_atom_site_fract_y
_atom_site_fract_z
Ac1 Ac 0.2448 0.7552 0.7500
Ac2 Ac 0.7552 0.2448 0.2500
As1 As 0.1112 0.8888 0.2500
As2 As 0.8888 0.1112 0.7500
Pd1 Pd 0.2620 0.2620 0.0000
Pd2 Pd 0.2620 0.2620 0.5000
Pd3 Pd 0.3330 0.6670 0.2500
Pd4 Pd 0.6670 0.3330 0.7500
Pd5 Pd 0.7380 0.7380 0.0000
Pd6 Pd 0.7380 0.7380 0.5000
# Uncorrected energy   -5.67 eV/atom
# Energy relative to the elements   -0.803 eV per atom
# Excess energy over the best structure of this formula in the dataset   0 meV/atom

***

# Ba2CaZnNi (GGA-PBE, optimized geometry)
data_Ba2CaZnNi
_chemical_formula_sum 'Ba2 Ca1 Zn1 Ni1'
_cell_length_a 6.0068
_cell_length_b 6.0068
_cell_length_c 5.4244
_cell_angle_alpha 90.00
_cell_angle_beta 90.00
_cell_angle_gamma 90.00
_space_group_name_H-M_alt 'P 1'
_space_group_IT_number 1
loop_
_space_group_symop_operation_xyz
'x,y,z'
loop_
_atom_site_label
_atom_site_type_symbol
_atom_site_fract_x
_atom_site_fract_y
_atom_site_fract_z
Ba1 Ba 0.0000 0.5000 0.0000
Ba2 Ba 0.5000 0.0000 0.0000
Ca1 Ca 0.0000 0.0000 0.5000
Zn1 Zn 0.5000 0.5000 0.5000
Ni1 Ni 0.0000 0.0000 0.0000
# Uncorrected energy   -2.52 eV/atom
# Energy relative to the elements   0.062 eV per atom

***

# LiAgMo3 (GGA-PBE, optimized geometry)
data_LiAgMo3
_chemical_formula_sum 'Li1 Ag1 Mo3'
_cell_length_a 4.2535
_cell_length_b 4.2535
_cell_length_c 4.2535
_cell_angle_alpha 90.00
_cell_angle_beta 90.00
_cell_angle_gamma 90.00
_space_group_name_H-M_alt 'P 1'
_space_group_IT_number 1
loop_
_space_group_symop_operation_xyz
'x,y,z'
loop_
_atom_site_label
_atom_site_type_symbol
_atom_site_fract_x
_atom_site_fract_y
_atom_site_fract_z
Li1 Li 0.0000 0.0000 0.0000
Ag1 Ag 0.5000 0.5000 0.5000
Mo1 Mo 0.0000 0.0000 0.5000
Mo2 Mo 0.0000 0.5000 0.0000
Mo3 Mo 0.5000 0.0000 0.0000
# Uncorrected energy   -6.12 eV/atom
# Energy relative to the elements   1.331 eV per atom
# Excess energy over the best structure of this formula in the dataset   0 meV/atom

***

# Ac2ScO4 (GGA-PBE, optimized geometry)
data_Ac2ScO4
_chemical_formula_sum 'Ac2 Sc1 O4'
_cell_length_a 7.1697
_cell_length_b 7.1697
_cell_length_c 7.1697
_cell_angle_alpha 146.61
_cell_angle_beta 146.61
_cell_angle_gamma 47.95
_space_group_name_H-M_alt 'P 1'
_space_group_IT_number 1
loop_
_space_group_symop_operation_xyz
'x,y,z'
loop_
_atom_site_label
_atom_site_type_symbol
_atom_site_fract_x
_atom_site_fract_y
_atom_site_fract_z
Ac1 Ac 0.1483 0.1483 0.0000
Ac2 Ac 0.8517 0.8517 0.0000
Sc1 Sc 0.5000 0.5000 0.0000
O1 O 0.0000 0.5000 0.5000
O2 O 0.3333 0.3333 0.0000
O3 O 0.5000 0.0000 0.5000
O4 O 0.6667 0.6667 0.0000
# Uncorrected energy   -8.06 eV/atom
# Uncorrected formation energy   -72.60 kcal/mol of atoms

***

# NaLuSn (GGA-PBE, optimized geometry)
data_NaLuSn
_chemical_formula_sum 'Na1 Lu1 Sn1'
_cell_length_a 5.0868
_cell_length_b 5.0868
_cell_length_c 5.0868
_cell_angle_alpha 60.00
_cell_angle_beta 60.00
_cell_angle_gamma 60.00
_space_group_name_H-M_alt 'P 1'
_space_group_IT_number 1
loop_
_space_group_symop_operation_xyz
'x,y,z'
loop_
_atom_site_label
_atom_site_type_symbol
_atom_site_fract_x
_atom_site_fract_y
_atom_site_fract_z
Na1 Na 0.0000 0.0000 0.0000
Lu1 Lu 0.5000 0.5000 0.5000
Sn1 Sn 0.7500 0.7500 0.7500
# Uncorrected energy   -3.51 eV/atom
# Energy relative to the elements   -0.233 eV per atom

***

# LaHoTlNi (GGA-PBE, optimized geometry)
data_LaHoTlNi
_chemical_formula_sum 'La1 Ho1 Tl1 Ni1'
_cell_length_a 5.2486
_cell_length_b 5.2486
_cell_length_c 5.2486
_cell_angle_alpha 60.00
_cell_angle_beta 60.00
_cell_angle_gamma 60.00
_space_group_name_H-M_alt 'P 1'
_space_group_IT_number 1
loop_
_space_group_symop_operation_xyz
'x,y,z'
loop_
_atom_site_label
_atom_site_type_symbol
_atom_site_fract_x
_atom_site_fract_y
_atom_site_fract_z
La1 La 0.0000 0.0000 0.0000
Ho1 Ho 0.5000 0.5000 0.5000
Tl1 Tl 0.7500 0.7500 0.7500
Ni1 Ni 0.2500 0.2500 0.2500
# Uncorrected energy   -4.62 eV/atom
# Energy relative to the elements   -0.202 eV per atom